No. 1
The following is a PBE calculation of crystalline TlWSe at its relaxed geometry, from the Alexandria database.

Computed properties:
Energy above the lowest structure with this stoichiometry: 288 meV per atom
Total DFT energy (no corrections): -17.72 eV/cell
Uncorrected formation energy: 0.36 eV per atom
Theoretical density: 11.5 g/cm3

a b c (Å): 7.2961 7.2961 7.2961
angles (deg): 155.41 155.41 35.06
With the nearest neighbours (Å) after each atom.
Element x y z (fractional)
W  0.6429  0.6429  0.0000  4 Se 2.58
Tl  0.3117  0.3117  0.0000  4 Tl 3.11, 4 W 3.22
Se  0.0454  0.0454  0.0000  4 W 2.58

***

No. 2
The following is a PBE calculation of crystalline Tl2WSe5 at its relaxed geometry, from the Alexandria database.

Computed properties:
Total DFT energy (no corrections): -36.84 eV/cell
Uncorrected formation energy: -0.22 eV per atom
Theoretical density: 5.8 g/cm3

a b c (Å): 7.6743 5.7753 8.0207
angles (deg): 111.11 118.58 90.00
With the nearest neighbours (Å) after each atom.
Element x y z (fractional)
Tl  0.2145  0.7148  0.4290  4 Se 3.27-3.28
Se  0.7955  0.2948  0.0575  1 W 2.47, 1 Se 2.70
Se  0.2620  0.7627  0.0575  1 W 2.47, 1 Se 2.70
Se  0.7908  0.7907  0.5816  1 W 2.32
Se  0.7955  0.7627  0.0575  1 W 2.47, 1 Se 2.70
Tl  0.6852  0.1852  0.3705  6 Se 3.19-3.26
W  0.9714  0.9714  0.9428  5 Se 2.32-2.47
Se  0.2620  0.2948  0.0575  1 W 2.47, 1 Se 2.70

***

No. 3
The following is a PBE calculation of crystalline Tl2WSe at its relaxed geometry, from the Alexandria database.

Computed properties:
Energy above the lowest structure with this stoichiometry: 754 meV per atom
Total DFT energy (no corrections): -34.25 eV/cell
Uncorrected formation energy: 1.01 eV per atom
Theoretical density: 11.3 g/cm3

a b c (Å): 4.1683 4.1683 11.6914
angles (deg): 79.73 79.73 90.00
With the nearest neighbours (Å) after each atom.
Element x y z (fractional)
Se  0.5000  0.5000  0.0000  4 W 2.95, 4 Tl 3.19
W  0.7500  0.2500  0.5000  4 Se 2.95, 4 Tl 3.19
Tl  0.8750  0.8762  0.7500  4 Tl 2.94-2.95, 2 W 3.19, 2 Se 3.19
W  0.0000  0.0000  0.0000  4 Se 2.95, 4 Tl 3.19
Tl  0.3750  0.3738  0.7500  4 Tl 2.94-2.95, 2 W 3.19, 2 Se 3.19
Tl  0.1238  0.6250  0.2500  4 Tl 2.94-2.95, 2 W 3.19, 2 Se 3.19
Se  0.2500  0.7500  0.5000  4 W 2.95, 4 Tl 3.19
Tl  0.6262  0.1250  0.2500  4 Tl 2.94-2.95, 2 W 3.19, 2 Se 3.19

***

No. 4
The following is a PBE calculation of crystalline Tl2WSe at its relaxed geometry, from the Alexandria database.

Computed properties:
Energy above the lowest structure with this stoichiometry: 230 meV per atom
Total DFT energy (no corrections): -19.22 eV/cell
Uncorrected formation energy: 0.49 eV per atom
Theoretical density: 11.0 g/cm3

a b c (Å): 8.2649 8.2649 8.2649
angles (deg): 158.39 150.87 36.56
With the nearest neighbours (Å) after each atom.
Element x y z (fractional)
Tl  0.5735  0.5735  0.0000  6 Tl 3.10-3.47, 2 W 3.17, 2 Se 3.46
W  0.7500  0.2500  0.5000  4 Se 2.59
Tl  0.9265  0.9265  0.0000  6 Tl 3.10-3.47, 2 W 3.17, 2 Se 3.46
Se  0.2500  0.7500  0.5000  4 W 2.59

***

No. 5
The following is a PBE calculation of crystalline Tl2WSe at its relaxed geometry, from the Alexandria database.

Computed properties:
Energy above the lowest structure with this stoichiometry: 0 meV per atom
Total DFT energy (no corrections): -20.14 eV/cell
Uncorrected formation energy: 0.26 eV per atom
Theoretical density: 11.7 g/cm3

a b c (Å): 3.1589 3.1589 9.5335
angles (deg): 90.00 90.00 90.00
With the nearest neighbours (Å) after each atom.
Element x y z (fractional)
Tl  0.0000  0.0000  0.9984  4 Tl 3.16
Se  0.5000  0.5000  0.6721  4 W 2.60
Tl  0.5000  0.5000  0.2977  4 W 3.16, 4 Tl 3.16
W  0.0000  0.0000  0.5318  4 Se 2.60

***

No. 6
The following is a PBE calculation of crystalline TlW2Se at its relaxed geometry, from the Alexandria database.

Computed properties:
Energy above the lowest structure with this stoichiometry: 0 meV per atom
Total DFT energy (no corrections): -30.17 eV/cell
Uncorrected formation energy: 0.40 eV per atom
Theoretical density: 13.0 g/cm3

a b c (Å): 9.0767 9.0767 9.0767
angles (deg): 20.85 20.85 20.85
With the nearest neighbours (Å) after each atom.
Element x y z (fractional)
Tl  0.7452  0.7452  0.7452  3 W 3.13, 6 Tl 3.29, 3 Se 3.38
W  0.2527  0.2527  0.2527  3 W 2.58, 3 Se 2.64
W  0.9852  0.9852  0.9852  3 W 2.58
Se  0.5170  0.5170  0.5170  3 W 2.64

***

Question: Look up the uncorrected formation energy of the first one.
Answer: 0.36 eV per atom

***

Question: Look up the uncorrected formation energy of the fourth one.
Answer: 0.49 eV per atom

***

Question: Which of these has the lowest uncorrected formation energy?
Answer: Tl2WSe5